Record 1
The following is a PBE-GGA calculation of a relaxed LiAcScAu crystal, from Alexandria via LeMat-Bulk.

Lattice parameters (Å, degrees): 5.248 5.248 5.248 60.00 60.00 60.00
Element x y z (fractional)
Li 0.000 0.000 0.000
Ac 0.750 0.750 0.750
Sc 0.250 0.250 0.250
Au 0.500 0.500 0.500

Results
The density of states at the Fermi level comes out at 4.63 states/eV/cell. The symmetry is No. 216. For the energy relative to the elements, the calculation gives -0.25 eV per atom.

Record 2
The following is a PBE-GGA calculation of a relaxed LiAc2ScAu6 crystal, from Alexandria via LeMat-Bulk.

Lattice parameters (Å, degrees): 6.325 6.889 7.180 83.80 63.87 62.83
Element x y z (fractional)
Li 0.000 0.000 0.000
Ac 0.452 0.804 0.292
Ac 0.548 0.196 0.708
Sc 0.000 0.500 0.500
Au 0.022 0.749 0.747
Au 0.141 0.612 0.103
Au 0.483 0.748 0.748
Au 0.517 0.252 0.252
Au 0.859 0.388 0.897
Au 0.978 0.251 0.253

Results
The density of states at the Fermi level comes out at 4.96 states/eV/cell. The symmetry is No. 2. For the energy relative to the elements, the calculation gives -0.60 eV per atom.

Record 3
The following is a PBE-GGA calculation of a relaxed LiAcSiAu2 crystal, from Alexandria via LeMat-Bulk.

Lattice parameters (Å, degrees): 6.158 6.158 6.158 137.42 137.42 61.80
Element x y z (fractional)
Li 0.000 0.000 0.000
Ac 0.250 0.750 0.500
Si 0.500 0.500 0.000
Au 0.615 0.115 0.500
Au 0.885 0.385 0.500

Results
The density of states at the Fermi level comes out at 2.66 states/eV/cell. The symmetry is No. 119. The calculation puts the formation energy without anion corrections at -662 meV/atom.

Record 4
The following is a PBE-GGA calculation of a relaxed LiAcSiAu6 crystal, from Alexandria via LeMat-Bulk.

Lattice parameters (Å, degrees): 8.106 8.106 8.106 126.39 110.18 93.54
Element x y z (fractional)
Li 0.500 0.000 0.000
Li 0.500 0.500 0.500
Ac 0.031 0.281 0.750
Ac 0.969 0.719 0.250
Si 0.000 0.500 0.500
Si 0.500 0.500 0.000
Au 0.128 0.330 0.205
Au 0.128 0.923 0.798
Au 0.278 0.028 0.250
Au 0.324 0.574 0.750
Au 0.374 0.077 0.705
Au 0.374 0.670 0.298
Au 0.626 0.330 0.702
Au 0.626 0.923 0.295
Au 0.676 0.426 0.250
Au 0.722 0.972 0.750
Au 0.872 0.077 0.202
Au 0.872 0.670 0.795

Results
The density of states at the Fermi level comes out at 7.66 states/eV/cell. The symmetry is No. 74. The calculation puts the formation energy without anion corrections at -318 meV/atom.

Record 5
The following is a PBE-GGA calculation of a relaxed LiAc2Si3Au12 crystal, from Alexandria via LeMat-Bulk.

Lattice parameters (Å, degrees): 8.031 8.031 8.031 67.73 67.73 67.73
Element x y z (fractional)
Li 0.000 0.000 0.000
Ac 0.389 0.389 0.389
Ac 0.611 0.611 0.611
Si 0.000 0.000 0.500
Si 0.000 0.500 0.000
Si 0.500 0.000 0.000
Au 0.130 0.130 0.639
Au 0.130 0.639 0.130
Au 0.142 0.685 0.685
Au 0.315 0.315 0.858
Au 0.315 0.858 0.315
Au 0.361 0.870 0.870
Au 0.639 0.130 0.130
Au 0.685 0.142 0.685
Au 0.685 0.685 0.142
Au 0.858 0.315 0.315
Au 0.870 0.361 0.870
Au 0.870 0.870 0.361

Results
The density of states at the Fermi level comes out at 3.62 states/eV/cell. The symmetry is No. 166. The calculation puts the formation energy without anion corrections at -221 meV/atom.

Record 6
The following is a PBE-GGA calculation of a relaxed LiAc2Si3Au4 crystal, from Alexandria via LeMat-Bulk.

Lattice parameters (Å, degrees): 4.511 4.511 10.267 90.00 90.00 90.00
Element x y z (fractional)
Li 0.000 0.000 0.000
Ac 0.000 0.500 0.748
Ac 0.500 0.000 0.252
Si 0.000 0.500 0.367
Si 0.500 0.000 0.633
Si 0.500 0.500 0.000
Au 0.000 0.000 0.500
Au 0.000 0.500 0.120
Au 0.500 0.000 0.880
Au 0.500 0.500 0.500

Results
The density of states at the Fermi level comes out at 4.65 states/eV/cell. The symmetry is No. 115. The calculation puts the formation energy without anion corrections at -654 meV/atom.

Record 7
The following is a PBE-GGA calculation of a relaxed LiAcSiAu crystal, from Alexandria via LeMat-Bulk.

Lattice parameters (Å, degrees): 5.156 5.156 5.156 60.00 60.00 60.00
Element x y z (fractional)
Li 0.000 0.000 0.000
Ac 0.500 0.500 0.500
Si 0.250 0.250 0.250
Au 0.750 0.750 0.750

Results
The density of states at the Fermi level comes out at 2.57 states/eV/cell. The symmetry is No. 216. The calculation puts the formation energy without anion corrections at -389 meV/atom.

Record 8
The following is a PBE-GGA calculation of a relaxed LiAcSmAu crystal, from Alexandria via LeMat-Bulk.

Lattice parameters (Å, degrees): 5.412 5.412 5.412 60.00 60.00 60.00
Element x y z (fractional)
Li 0.000 0.000 0.000
Ac 0.250 0.250 0.250
Sm 0.750 0.750 0.750
Au 0.500 0.500 0.500

Results
The density of states at the Fermi level comes out at 4.53 states/eV/cell. The symmetry is No. 216. For the energy relative to the elements, the calculation gives -0.30 eV per atom.

Record 9
The following is a PBE-GGA calculation of a relaxed Li2AcSmAu2 crystal, from Alexandria via LeMat-Bulk.

Lattice parameters (Å, degrees): 4.697 4.697 7.461 90.00 90.00 120.00
Element x y z (fractional)
Li 0.333 0.667 0.209
Li 0.667 0.333 0.791
Ac 0.000 0.000 0.500
Sm 0.000 0.000 0.000
Au 0.333 0.667 0.777
Au 0.667 0.333 0.223

Results
The density of states at the Fermi level comes out at 5.87 states/eV/cell. The symmetry is No. 164. For the energy relative to the elements, the calculation gives -0.54 eV per atom.

Record 10
The following is a PBE-GGA calculation of a relaxed Li2AcSmAu4 crystal, from Alexandria via LeMat-Bulk.

Lattice parameters (Å, degrees): 10.235 10.235 10.235 26.03 26.03 26.03
Element x y z (fractional)
Li 0.243 0.243 0.243
Li 0.757 0.757 0.757
Ac 0.000 0.000 0.000
Sm 0.500 0.500 0.500
Au 0.112 0.112 0.112
Au 0.396 0.396 0.396
Au 0.604 0.604 0.604
Au 0.888 0.888 0.888

Results
The density of states at the Fermi level comes out at 4.90 states/eV/cell. The symmetry is No. 166. For the energy relative to the elements, the calculation gives -0.72 eV per atom.

Record 11
The following is a PBE-GGA calculation of a relaxed Li2Ac3Sm2Au4 crystal, from Alexandria via LeMat-Bulk.

Lattice parameters (Å, degrees): 4.871 4.871 15.314 90.00 90.00 120.00
Element x y z (fractional)
Li 0.333 0.667 0.132
Li 0.667 0.333 0.868
Ac 0.000 0.000 0.000
Ac 0.000 0.000 0.253
Ac 0.000 0.000 0.747
Sm 0.333 0.667 0.573
Sm 0.667 0.333 0.427
Au 0.333 0.667 0.368
Au 0.333 0.667 0.875
Au 0.667 0.333 0.125
Au 0.667 0.333 0.632

Results
The density of states at the Fermi level comes out at 11.05 states/eV/cell. The symmetry is No. 164. For the energy relative to the elements, the calculation gives -0.53 eV per atom.

Record 12
The following is a PBE-GGA calculation of a relaxed Li2AcSnAu5 crystal, from Alexandria via LeMat-Bulk.

Lattice parameters (Å, degrees): 4.976 4.976 7.653 90.00 90.00 90.00
Element x y z (fractional)
Li 0.000 0.000 0.165
Li 0.000 0.000 0.835
Ac 0.500 0.500 0.500
Sn 0.500 0.500 0.000
Au 0.000 0.000 0.500
Au 0.000 0.500 0.219
Au 0.000 0.500 0.781
Au 0.500 0.000 0.219
Au 0.500 0.000 0.781

Results
The density of states at the Fermi level comes out at 3.92 states/eV/cell. The symmetry is No. 123. For the energy relative to the elements, the calculation gives -0.44 eV per atom.

Record 13
The following is a PBE-GGA calculation of a relaxed Li2AcSnAu4 crystal, from Alexandria via LeMat-Bulk.

Lattice parameters (Å, degrees): 9.806 9.806 9.806 27.21 27.21 27.21
Element x y z (fractional)
Li 0.231 0.231 0.231
Li 0.769 0.769 0.769
Ac 0.000 0.000 0.000
Sn 0.500 0.500 0.500
Au 0.121 0.121 0.121
Au 0.398 0.398 0.398
Au 0.602 0.602 0.602
Au 0.879 0.879 0.879

Results
The density of states at the Fermi level comes out at 3.95 states/eV/cell. The symmetry is No. 166. For the energy relative to the elements, the calculation gives -0.57 eV per atom.

Record 14
The following is a PBE-GGA calculation of a relaxed Li2AcSn2Au crystal, from Alexandria via LeMat-Bulk.

Lattice parameters (Å, degrees): 7.111 7.111 7.111 139.60 139.60 58.46
Element x y z (fractional)
Li 0.186 0.186 0.000
Li 0.814 0.814 0.000
Ac 0.500 0.500 0.000
Sn 0.250 0.750 0.500
Sn 0.750 0.250 0.500
Au 0.000 0.000 0.000

Results
The density of states at the Fermi level comes out at 1.74 states/eV/cell. The symmetry is No. 139. For the energy relative to the elements, the calculation gives -0.29 eV per atom.

Record 15
The following is a PBE-GGA calculation of a relaxed LiAc2SnAu6 crystal, from Alexandria via LeMat-Bulk.

Lattice parameters (Å, degrees): 5.557 7.059 7.375 80.92 68.01 66.86
Element x y z (fractional)
Li 0.000 0.000 0.000
Ac 0.251 0.281 0.218
Ac 0.749 0.719 0.782
Sn 0.500 0.500 0.500
Au 0.228 0.254 0.787
Au 0.238 0.919 0.601
Au 0.272 0.747 0.212
Au 0.728 0.253 0.788
Au 0.762 0.081 0.399
Au 0.772 0.746 0.213

Results
The density of states at the Fermi level comes out at 5.40 states/eV/cell. The symmetry is No. 2. For the energy relative to the elements, the calculation gives -0.55 eV per atom.

Record 16
The following is a PBE-GGA calculation of a relaxed LiAcSn2Au4 crystal, from Alexandria via LeMat-Bulk.

Lattice parameters (Å, degrees): 9.772 9.772 9.772 27.89 27.89 27.89
Element x y z (fractional)
Li 0.000 0.000 0.000
Ac 0.500 0.500 0.500
Sn 0.262 0.262 0.262
Sn 0.738 0.738 0.738
Au 0.104 0.104 0.104
Au 0.362 0.362 0.362
Au 0.638 0.638 0.638
Au 0.896 0.896 0.896

Results
The density of states at the Fermi level comes out at 2.66 states/eV/cell. The symmetry is No. 166. For the energy relative to the elements, the calculation gives -0.56 eV per atom.

Record 17
The following is a PBE-GGA calculation of a relaxed LiAc2Sn4Au3 crystal, from Alexandria via LeMat-Bulk.

Lattice parameters (Å, degrees): 4.682 4.682 11.669 90.00 90.00 90.00
Element x y z (fractional)
Li 0.000 0.000 0.000
Ac 0.000 0.500 0.759
Ac 0.500 0.000 0.241
Sn 0.000 0.000 0.500
Sn 0.000 0.500 0.127
Sn 0.500 0.000 0.873
Sn 0.500 0.500 0.500
Au 0.000 0.500 0.360
Au 0.500 0.000 0.640
Au 0.500 0.500 0.000

Results
The density of states at the Fermi level comes out at 3.31 states/eV/cell. The symmetry is No. 115. For the energy relative to the elements, the calculation gives -0.65 eV per atom.

Record 18
The following is a PBE-GGA calculation of a relaxed Li2AcSnAu2 crystal, from Alexandria via LeMat-Bulk.

Lattice parameters (Å, degrees): 4.624 4.624 7.190 90.00 90.00 120.00
Element x y z (fractional)
Li 0.333 0.667 0.152
Li 0.667 0.333 0.848
Ac 0.000 0.000 0.500
Sn 0.000 0.000 0.000
Au 0.333 0.667 0.772
Au 0.667 0.333 0.228

Results
The density of states at the Fermi level comes out at 3.31 states/eV/cell. The symmetry is No. 164. For the energy relative to the elements, the calculation gives -0.64 eV per atom.

Record 19
The following is a PBE-GGA calculation of a relaxed Li2Ac3Tb2Au4 crystal, from Alexandria via LeMat-Bulk.

Lattice parameters (Å, degrees): 4.845 4.845 15.256 90.00 90.00 120.00
Element x y z (fractional)
Li 0.333 0.667 0.133
Li 0.667 0.333 0.867
Ac 0.000 0.000 0.000
Ac 0.000 0.000 0.256
Ac 0.000 0.000 0.744
Tb 0.333 0.667 0.571
Tb 0.667 0.333 0.429
Au 0.333 0.667 0.372
Au 0.333 0.667 0.874
Au 0.667 0.333 0.126
Au 0.667 0.333 0.628

Results
The density of states at the Fermi level comes out at 11.16 states/eV/cell. The symmetry is No. 164. For the energy relative to the elements, the calculation gives -0.55 eV per atom.

Record 20
The following is a PBE-GGA calculation of a relaxed LiAcTbAu crystal, from Alexandria via LeMat-Bulk.

Lattice parameters (Å, degrees): 5.376 5.376 5.376 60.00 60.00 60.00
Element x y z (fractional)
Li 0.000 0.000 0.000
Ac 0.750 0.750 0.750
Tb 0.250 0.250 0.250
Au 0.500 0.500 0.500

Results
The density of states at the Fermi level comes out at 4.16 states/eV/cell. The symmetry is No. 216. For the energy relative to the elements, the calculation gives -0.31 eV per atom.